A relaxed structure of V2Mo, computed with GGA-PBE.

Results
The calculation puts the density of states at the Fermi level at 0.39 states/eV per atom. The calculation puts the energy relative to the lowest polymorph listed for this composition at 0.0990 eV per atom. The space-group type is Fd-3m, No. 227. For the formation energy, the calculation gives 3 meV per atom.

The structure in POSCAR format:
```
V2Mo
1.0
0.000 3.504 3.504
3.504 0.000 3.504
3.504 3.504 0.000
V Mo
4 2
Cartesian
0.000 0.000 0.000 V
1.752 1.752 0.000 V
1.752 0.000 1.752 V
0.000 1.752 1.752 V
2.628 2.628 2.628 Mo
4.380 4.380 4.380 Mo
```

***

A relaxed structure of PmErCl6, computed with GGA-PBE.

Results
The calculation puts the density of states at the Fermi level at 0.00 states/eV per atom. The calculation puts the energy relative to the lowest polymorph listed for this composition at 0.0000 eV per atom. Its formation energy (no corrections) is -2.25 eV per atom. The space-group type is C2/m, No. 12.

The structure in POSCAR format:
```
PmErCl6
1.0
3.351 -6.332 0.000
3.351 6.332 0.000
-1.826 0.000 6.443
Pm Er Cl
1 1 6
Cartesian
0.000 0.000 0.000 Pm
2.438 0.000 3.221 Er
1.269 1.777 1.663 Cl
0.337 0.000 4.792 Cl
1.269 -1.777 1.663 Cl
3.607 1.777 4.780 Cl
4.538 0.000 1.651 Cl
3.607 -1.777 4.780 Cl
```

***

A relaxed structure of Y5AsS5, computed with GGA-PBE.

Results
The calculation puts the density of states at the Fermi level at 0.30 states/eV per atom. Its formation energy (no corrections) is -1.99 eV per atom. The space-group type is C2/m, No. 12.

The structure in POSCAR format:
```
Y5AsS5
1.0
6.249 -2.798 0.000
6.249 2.798 0.000
-2.506 0.000 7.514
Y As S
5 1 5
Cartesian
0.000 0.000 0.000 Y
2.516 0.000 4.966 Y
3.783 0.000 1.326 Y
6.210 0.000 6.188 Y
7.477 0.000 2.548 Y
6.249 0.000 0.000 As
1.273 0.000 2.496 S
0.043 0.000 6.317 S
4.996 0.000 3.757 S
9.950 0.000 1.197 S
8.720 0.000 5.018 S
```

***

A relaxed structure of Tb6Pm4Tm, computed with GGA-PBE.

Results
The calculation puts the density of states at the Fermi level at 1.32 states/eV per atom. The calculation puts the energy relative to the lowest polymorph listed for this composition at 0.2226 eV per atom. The space-group type is I-42m, No. 121. For the formation energy, the calculation gives 380 meV per atom.

The structure in POSCAR format:
```
Tb6Pm4Tm
1.0
-3.757 3.757 6.755
3.757 -3.757 6.755
3.757 3.757 -6.755
Tb Pm Tm
6 4 1
Cartesian
3.757 0.000 0.000 Tb
2.503 -2.503 5.675 Tb
1.254 1.254 1.081 Tb
0.000 3.757 0.000 Tb
-2.503 2.503 5.675 Tb
2.503 2.503 7.836 Tb
2.055 2.055 -2.535 Pm
1.702 -1.702 9.290 Pm
1.702 1.702 4.221 Pm
-1.702 1.702 9.290 Pm
0.000 0.000 6.755 Tm
```

***

A relaxed structure of Tl4HgPt, computed with GGA-PBE.

Results
The calculation puts the density of states at the Fermi level at 0.77 states/eV per atom. The calculation puts the energy relative to the lowest polymorph listed for this composition at 0.4573 eV per atom. The space-group type is F-43m, No. 216. For the formation energy, the calculation gives 426 meV per atom.

The structure in POSCAR format:
```
Tl4HgPt
1.0
0.000 4.433 4.433
4.433 0.000 4.433
4.433 4.433 0.000
Tl Hg Pt
4 1 1
Cartesian
3.331 3.331 3.331 Tl
5.535 5.535 3.331 Tl
5.535 3.331 5.535 Tl
3.331 5.535 5.535 Tl
0.000 0.000 0.000 Hg
6.649 6.649 6.649 Pt
```

***

A relaxed structure of TbAlCu, computed with GGA-PBE.

Results
The calculation puts the density of states at the Fermi level at 0.63 states/eV per atom. The space-group type is P-62m, No. 189. For the formation energy, the calculation gives -448 meV per atom.

The structure in POSCAR format:
```
TbAlCu
1.0
7.142 0.000 0.000
-3.571 6.185 0.000
0.000 0.000 3.938
Tb Al Cu
3 3 3
Cartesian
-2.083 3.608 0.000 Tb
1.488 2.577 0.000 Tb
4.166 0.000 0.000 Tb
-0.844 1.461 1.969 Al
1.687 0.000 1.969 Al
2.727 4.724 1.969 Al
0.000 0.000 0.000 Cu
0.000 4.123 1.969 Cu
3.571 2.062 1.969 Cu
```

***

A relaxed structure of Sc2TcP, computed with GGA-PBE.

Results
The calculation puts the density of states at the Fermi level at 0.47 states/eV per atom. The space-group type is P4/mmm, No. 123. For the formation energy, the calculation gives -640 meV per atom.

The structure in POSCAR format:
```
Sc2TcP
1.0
4.368 0.000 0.000
0.000 4.368 0.000
0.000 0.000 3.485
Sc Tc P
2 1 1
Cartesian
0.000 2.184 0.000 Sc
2.184 0.000 0.000 Sc
0.000 0.000 1.743 Tc
2.184 2.184 1.743 P
```

***

A relaxed structure of Zr5Ge2Pb2, computed with GGA-PBE.

Results
The calculation puts the density of states at the Fermi level at 0.67 states/eV per atom. The space-group type is Cmce, No. 64. For the formation energy, the calculation gives -534 meV per atom.

The structure in POSCAR format:
```
Zr5Ge2Pb2
1.0
7.335 -3.717 0.000
7.335 3.717 0.000
0.000 0.000 7.334
Zr Ge Pb
10 4 4
Cartesian
0.000 0.000 0.000 Zr
5.550 2.478 4.911 Zr
5.550 1.239 1.244 Zr
9.119 2.478 4.911 Zr
9.119 1.239 1.244 Zr
7.335 0.000 3.667 Zr
5.550 -1.239 6.090 Zr
5.550 -2.478 2.423 Zr
9.119 -1.239 6.090 Zr
9.119 -2.478 2.423 Zr
7.335 2.746 2.712 Ge
7.335 0.972 6.379 Ge
7.335 -0.972 0.955 Ge
7.335 -2.746 4.622 Ge
3.145 0.000 0.000 Pb
4.189 0.000 3.667 Pb
10.480 0.000 3.667 Pb
11.524 0.000 0.000 Pb
```